A relaxed Cu2BiAsPt crystal, computed with PBE.

Unit cell a=4.855 b=4.855 c=5.230 alpha=90.00 beta=90.00 gamma=90.00
Fractional coordinates of all 5 atoms:
Cu: 0.000 0.500 0.000
Cu: 0.500 0.000 0.000
Bi: 0.000 0.000 0.000
As: 0.500 0.500 0.500
Pt: 0.000 0.000 0.500

Calculated values
Formation enthalpy at 0 K   106.81 kJ/mol of atoms
DOS at the Fermi energy   0.680 states/eV per atom
Magnetic moment   0.00 μB per cell


A relaxed CuSnBiAs2 crystal, computed with PBE.

Unit cell a=5.537 b=5.537 c=4.835 alpha=90.00 beta=90.00 gamma=90.00
Fractional coordinates of all 5 atoms:
Cu: 0.000 0.000 0.000
Sn: 0.500 0.500 0.000
Bi: 0.000 0.000 0.500
As: 0.000 0.500 0.500
As: 0.500 0.000 0.500

Calculated values
Formation enthalpy at 0 K   79.66 kJ/mol of atoms
DOS at the Fermi energy   0.549 states/eV per atom
Magnetic moment   0.00 μB per cell


A relaxed Sr2Cu4BiAs3 crystal, computed with PBE.

Unit cell a=4.402 b=4.402 c=10.631 alpha=90.00 beta=90.00 gamma=90.00
Fractional coordinates of all 10 atoms:
Sr: 0.000 0.500 0.228
Sr: 0.500 0.000 0.772
Cu: 0.000 0.000 0.000
Cu: 0.000 0.500 0.650
Cu: 0.500 0.000 0.350
Cu: 0.500 0.500 0.000
Bi: 0.000 0.000 0.500
As: 0.000 0.500 0.876
As: 0.500 0.000 0.124
As: 0.500 0.500 0.500

Calculated values
Formation enthalpy at 0 K   -43.75 kJ/mol of atoms
DOS at the Fermi energy   0.385 states/eV per atom
Magnetic moment   0.00 μB per cell


A relaxed SrCuBiAs crystal, computed with PBE.

Unit cell a=4.381 b=4.381 c=10.764 alpha=90.00 beta=90.00 gamma=90.00
Fractional coordinates of all 8 atoms:
Sr: 0.250 0.250 0.224
Sr: 0.750 0.750 0.776
Cu: 0.250 0.750 0.000
Cu: 0.750 0.250 0.000
Bi: 0.250 0.750 0.500
Bi: 0.750 0.250 0.500
As: 0.250 0.250 0.880
As: 0.750 0.750 0.120

Calculated values
Formation enthalpy at 0 K   -49.65 kJ/mol of atoms
DOS at the Fermi energy   0.500 states/eV per atom
Magnetic moment   0.00 μB per cell